Record 1
# RbUTeSe3 | the Alexandria database | PBE | optimized geometry
data_RbUTeSe3
_cell_length_a 10.582
_cell_length_b 17.377
_cell_length_c 6.283
_cell_angle_alpha 90.00
_cell_angle_beta 90.00
_cell_angle_gamma 90.00
_space_group_name_H-M_alt 'C m c m'
_space_group_IT_number 63
_space_group_name_Hall '-C 2c 2'
loop_
_atom_site_label
_atom_site_type_symbol
_atom_site_fract_x
_atom_site_fract_y
_atom_site_fract_z
_atom_site_occupancy
Rb1 Rb 0.000 0.190 0.250 1
U1 U 0.000 0.432 0.750 1
Te1 Te 0.000 0.019 0.750 1
Se1 Se 0.000 0.282 0.750 1
Se2 Se 0.174 0.500 0.000 1
# Size of the total moment = 0.05 μB/f.u.
# Final energy = -4.90 eV/atom
# ρ = 4.0 g/cm³
# ΔE_f (raw) = -3.520 eV per formula unit

Record 2
# RbUTeSe6 | the Alexandria database | PBE | optimized geometry
data_RbUTeSe6
_cell_length_a 9.551
_cell_length_b 10.172
_cell_length_c 13.829
_cell_angle_alpha 90.00
_cell_angle_beta 90.00
_cell_angle_gamma 90.00
_space_group_name_H-M_alt 'I m m a'
_space_group_IT_number 74
_space_group_name_Hall '-I 2b 2'
loop_
_atom_site_label
_atom_site_type_symbol
_atom_site_fract_x
_atom_site_fract_y
_atom_site_fract_z
_atom_site_occupancy
Rb1 Rb 0.000 0.250 0.112 1
U1 U 0.000 0.000 0.500 1
Te1 Te 0.250 0.250 0.750 1
Se1 Se 0.000 0.250 0.435 1
Se2 Se 0.000 0.250 0.849 1
Se3 Se 0.213 0.041 0.623 1
# Size of the total moment = 0.00 μB/f.u.
# Final energy = -4.51 eV/atom
# ρ = 4.6 g/cm³
# ΔE_f (raw) = -4.272 eV per formula unit

Record 3
# RbUTe3Se | the Alexandria database | PBE | optimized geometry
data_RbUTe3Se
_cell_length_a 9.159
_cell_length_b 4.238
_cell_length_c 11.636
_cell_angle_alpha 90.00
_cell_angle_beta 107.72
_cell_angle_gamma 90.00
_space_group_name_H-M_alt 'P 1 21/m 1'
_space_group_IT_number 11
loop_
_space_group_symop_operation_xyz
'x,y,z'
'-x,-y,-z'
'-x,y+1/2,-z'
'x,-y+1/2,z'
loop_
_atom_site_label
_atom_site_type_symbol
_atom_site_fract_x
_atom_site_fract_y
_atom_site_fract_z
_atom_site_occupancy
Rb1 Rb 0.229 0.250 0.308 1
U1 U 0.318 0.750 0.825 1
Te1 Te 0.101 0.250 0.904 1
Te2 Te 0.352 0.750 0.583 1
Te3 Te 0.427 0.750 0.115 1
Se1 Se 0.134 0.250 0.689 1
# Size of the total moment = 1.02 μB/f.u.
# Final energy = -4.89 eV/atom
# ρ = 6.1 g/cm³
# ΔE_f (raw) = -4.191 eV per formula unit

Record 4
# Rb2UTeSe2 | the Alexandria database | PBE | optimized geometry
data_Rb2UTeSe2
_cell_length_a 5.635
_cell_length_b 5.635
_cell_length_c 6.728
_cell_angle_alpha 90.00
_cell_angle_beta 90.00
_cell_angle_gamma 90.00
_space_group_name_H-M_alt 'P 4/m m m'
_space_group_IT_number 123
_space_group_name_Hall '-P 4 2'
loop_
_atom_site_label
_atom_site_type_symbol
_atom_site_fract_x
_atom_site_fract_y
_atom_site_fract_z
_atom_site_occupancy
Rb1 Rb 0.000 0.000 0.230 1
U1 U 0.500 0.500 0.500 1
Te1 Te 0.500 0.500 0.000 1
Se1 Se 0.000 0.500 0.500 1
# Size of the total moment = 2.00 μB/f.u.
# Final energy = -4.86 eV/atom
# ρ = 5.4 g/cm³
# ΔE_f (raw) = -5.800 eV per formula unit

> Look up the ΔE_f (raw) of the fourth one.

-5.800 eV per formula unit

> Among the records above, which one has the highest ΔE_f (raw)?

RbUTeSe3